Entry from the Alexandria database: an optimized crystal structure of Ag2Sn2Au7 (PBE).

Cell: 6.7661 6.7661 5.7859 Å, 100.44 100.44 105.64°
Atoms (fractional coordinates):
Ag (0.1814, 0.1814, 0.1750)
Ag (0.8186, 0.8186, 0.8250)
Sn (0.2259, 0.7741, 0.5000)
Sn (0.7741, 0.2259, 0.5000)
Au (0.1024, 0.5683, 0.8338)
Au (0.1666, 0.1666, 0.6731)
Au (0.4317, 0.8976, 0.1662)
Au (0.5000, 0.5000, 0.0000)
Au (0.5683, 0.1024, 0.8338)
Au (0.8334, 0.8334, 0.3269)
Au (0.8976, 0.4317, 0.1662)

As for the space-group type: C2/m (12). Its density of states at the Fermi level is 3.6 states/eV/f.u. The uncorrected energy comes out at -3.2845 eV/atom.